No. 1
AcGd2Fe: optimized geometry, GGA-PBE.

Cell: 10.961 10.961 10.961 Å, 19.41 19.41 19.41°
Positions (direct):
1 Ac 0.000 0.000 0.000
2 Gd 0.113 0.113 0.113
3 Gd 0.887 0.887 0.887
4 Fe 0.500 0.500 0.500

DOS at the Fermi energy	4.6	states/eV/cell
energy of formation from the pure elements	0.28	eV/atom
space group	R-3m
volume	127.1	Å³ per cell

---

No. 2
AcFe3Ge2: optimized geometry, GGA-PBE.

Cell: 8.132 8.132 7.507 Å, 114.06 114.06 28.83°
Positions (direct):
1 Ac 0.144 0.144 0.057
2 Ac 0.856 0.856 0.943
3 Fe 0.045 0.045 0.412
4 Fe 0.306 0.306 0.530
5 Fe 0.415 0.415 0.379
6 Fe 0.585 0.585 0.621
7 Fe 0.694 0.694 0.470
8 Fe 0.955 0.955 0.588
9 Ge 0.196 0.196 0.682
10 Ge 0.473 0.473 0.778
11 Ge 0.527 0.527 0.222
12 Ge 0.804 0.804 0.318

DOS at the Fermi energy	10.8	states/eV/cell
energy of formation from the pure elements	-0.28	eV/atom
space group	C2/m
volume	217.2	Å³ per cell

---

No. 3
AcFe2Ge2: optimized geometry, GGA-PBE.

Cell: 6.006 6.006 6.006 Å, 139.12 139.12 59.19°
Positions (direct):
1 Ac 0.000 0.000 0.000
2 Fe 0.250 0.750 0.500
3 Fe 0.750 0.250 0.500
4 Ge 0.353 0.353 0.000
5 Ge 0.647 0.647 0.000

DOS at the Fermi energy	4.0	states/eV/cell
energy of formation from the pure elements	-0.39	eV/atom
space group	I4/mmm
volume	91.9	Å³ per cell

---

No. 4
AcFeGe: optimized geometry, GGA-PBE.

Cell: 6.774 6.774 6.899 Å, 90.00 90.00 110.15°
Positions (direct):
1 Ac 0.151 0.849 0.864
2 Ac 0.349 0.651 0.364
3 Ac 0.651 0.349 0.636
4 Ac 0.849 0.151 0.136
5 Fe 0.071 0.929 0.404
6 Fe 0.429 0.571 0.904
7 Fe 0.571 0.429 0.096
8 Fe 0.929 0.071 0.596
9 Ge 0.136 0.364 0.750
10 Ge 0.364 0.136 0.250
11 Ge 0.636 0.864 0.750
12 Ge 0.864 0.636 0.250

DOS at the Fermi energy	6.6	states/eV/cell
energy of formation from the pure elements	-0.18	eV/atom
space group	Cmce
volume	297.2	Å³ per cell

---

No. 5
AcFeGe: optimized geometry, GGA-PBE.

Cell: 4.281 4.281 4.514 Å, 90.00 90.00 120.00°
Positions (direct):
1 Ac 0.000 0.000 0.000
2 Fe 0.333 0.667 0.500
3 Ge 0.667 0.333 0.500

DOS at the Fermi energy	5.8	states/eV/cell
energy of formation from the pure elements	-0.29	eV/atom
space group	P-6m2
volume	71.6	Å³ per cell

---

No. 6
Ac3Fe2Ge4: optimized geometry, GGA-PBE.

Cell: 6.342 6.342 8.508 Å, 106.24 106.24 40.26°
Positions (direct):
1 Ac 0.000 0.000 0.000
2 Ac 0.387 0.387 0.310
3 Ac 0.613 0.613 0.690
4 Fe 0.298 0.298 0.630
5 Fe 0.702 0.702 0.370
6 Ge 0.123 0.123 0.397
7 Ge 0.288 0.288 0.913
8 Ge 0.712 0.712 0.087
9 Ge 0.877 0.877 0.603

DOS at the Fermi energy	8.1	states/eV/cell
energy of formation from the pure elements	-0.47	eV/atom
space group	C2/m
volume	211.1	Å³ per cell

---

No. 7
Ac12FeGe6: optimized geometry, GGA-PBE.

Cell: 9.061 9.061 9.061 Å, 99.20 99.20 99.20°
Positions (direct):
1 Ac 0.033 0.934 0.688
2 Ac 0.066 0.312 0.967
3 Ac 0.185 0.569 0.427
4 Ac 0.312 0.967 0.066
5 Ac 0.427 0.185 0.569
6 Ac 0.431 0.573 0.815
7 Ac 0.569 0.427 0.185
8 Ac 0.573 0.815 0.431
9 Ac 0.688 0.033 0.934
10 Ac 0.815 0.431 0.573
11 Ac 0.934 0.688 0.033
12 Ac 0.967 0.066 0.312
13 Fe 0.000 0.000 0.000
14 Ge 0.127 0.300 0.626
15 Ge 0.300 0.626 0.127
16 Ge 0.374 0.873 0.700
17 Ge 0.626 0.127 0.300
18 Ge 0.700 0.374 0.873
19 Ge 0.873 0.700 0.374

DOS at the Fermi energy	21.3	states/eV/cell
energy of formation from the pure elements	-0.36	eV/atom
space group	R-3
volume	711.5	Å³ per cell

---

No. 8
Ac2FeGe: optimized geometry, GGA-PBE.

Cell: 10.478 10.478 10.478 Å, 20.85 20.85 20.85°
Positions (direct):
1 Ac 0.090 0.090 0.090
2 Ac 0.910 0.910 0.910
3 Fe 0.000 0.000 0.000
4 Ge 0.500 0.500 0.500

DOS at the Fermi energy	6.7	states/eV/cell
energy of formation from the pure elements	0.60	eV/atom
space group	R-3m
volume	127.6	Å³ per cell

---

No. 9
Ac2FeGe3: optimized geometry, GGA-PBE.

Cell: 8.795 8.681 6.307 Å, 69.81 67.88 42.30°
Positions (direct):
1 Ac 0.244 0.756 0.244
2 Ac 0.250 0.250 0.250
3 Ac 0.750 0.750 0.750
4 Ac 0.756 0.244 0.756
5 Fe 0.333 0.333 0.667
6 Fe 0.667 0.667 0.333
7 Ge 0.175 0.175 0.825
8 Ge 0.178 0.648 0.822
9 Ge 0.352 0.822 0.648
10 Ge 0.648 0.178 0.352
11 Ge 0.822 0.352 0.178
12 Ge 0.825 0.825 0.175

DOS at the Fermi energy	6.3	states/eV/cell
energy of formation from the pure elements	-0.55	eV/atom
space group	Fmmm
volume	298.5	Å³ per cell

---

No. 10
AcFe3Ge3: optimized geometry, GGA-PBE.

Cell: 8.604 8.604 4.119 Å, 90.00 90.00 120.00°
Positions (direct):
1 Ac 0.333 0.667 0.250
2 Ac 0.667 0.333 0.750
3 Fe 0.043 0.184 0.250
4 Fe 0.141 0.957 0.250
5 Fe 0.184 0.141 0.750
6 Fe 0.816 0.859 0.250
7 Fe 0.859 0.043 0.750
8 Fe 0.957 0.816 0.750
9 Ge 0.077 0.357 0.750
10 Ge 0.280 0.923 0.750
11 Ge 0.357 0.280 0.250
12 Ge 0.643 0.720 0.750
13 Ge 0.720 0.077 0.250
14 Ge 0.923 0.643 0.250

DOS at the Fermi energy	8.7	states/eV/cell
energy of formation from the pure elements	-0.25	eV/atom
space group	P6_3/m
volume	264.0	Å³ per cell

---

No. 11
AcFe4Ge12: optimized geometry, GGA-PBE.

Cell: 7.414 7.414 7.414 Å, 109.47 109.47 109.47°
Positions (direct):
1 Ac 0.000 0.000 0.000
2 Fe 0.000 0.000 0.500
3 Fe 0.000 0.500 0.000
4 Fe 0.500 0.000 0.000
5 Fe 0.500 0.500 0.500
6 Ge 0.170 0.824 0.346
7 Ge 0.176 0.346 0.522
8 Ge 0.176 0.654 0.830
9 Ge 0.346 0.170 0.824
10 Ge 0.346 0.522 0.176
11 Ge 0.478 0.824 0.654
12 Ge 0.522 0.176 0.346
13 Ge 0.654 0.478 0.824
14 Ge 0.654 0.830 0.176
15 Ge 0.824 0.346 0.170
16 Ge 0.824 0.654 0.478
17 Ge 0.830 0.176 0.654

DOS at the Fermi energy	15.9	states/eV/cell
energy of formation from the pure elements	0.02	eV/atom
space group	Im-3
volume	313.7	Å³ per cell

---

No. 12
Ac2FeGe3: optimized geometry, GGA-PBE.

Cell: 8.389 8.389 8.389 Å, 149.01 146.68 46.14°
Positions (direct):
1 Ac 0.143 0.143 0.000
2 Ac 0.857 0.857 0.000
3 Fe 0.500 0.500 0.000
4 Ge 0.347 0.347 0.000
5 Ge 0.500 0.000 0.500
6 Ge 0.653 0.653 0.000

DOS at the Fermi energy	4.1	states/eV/cell
energy of formation from the pure elements	-0.37	eV/atom
space group	Immm
volume	166.4	Å³ per cell

---

No. 13
Ac2FeGe6: optimized geometry, GGA-PBE.

Cell: 6.455 6.455 5.357 Å, 90.00 90.00 120.00°
Positions (direct):
1 Ac 0.333 0.667 0.202
2 Ac 0.667 0.333 0.798
3 Fe 0.000 0.000 0.000
4 Ge 0.158 0.317 0.695
5 Ge 0.158 0.842 0.695
6 Ge 0.317 0.158 0.305
7 Ge 0.683 0.842 0.695
8 Ge 0.842 0.158 0.305
9 Ge 0.842 0.683 0.305

DOS at the Fermi energy	6.0	states/eV/cell
energy of formation from the pure elements	-0.40	eV/atom
space group	P-3m1
volume	193.3	Å³ per cell

---

No. 14
AcFe4Ge4: optimized geometry, GGA-PBE.

Cell: 6.215 6.215 6.215 Å, 97.40 97.40 137.94°
Positions (direct):
1 Ac 0.000 0.000 0.000
2 Fe 0.096 0.611 0.707
3 Fe 0.389 0.096 0.486
4 Fe 0.611 0.904 0.514
5 Fe 0.904 0.389 0.293
6 Ge 0.221 0.349 0.570
7 Ge 0.349 0.779 0.128
8 Ge 0.651 0.221 0.872
9 Ge 0.779 0.651 0.430

DOS at the Fermi energy	10.1	states/eV/cell
energy of formation from the pure elements	-0.20	eV/atom
space group	I4/m
volume	150.1	Å³ per cell

---

No. 15
Ac3FeGe: optimized geometry, GGA-PBE.

Cell: 5.402 5.402 5.402 Å, 90.00 90.00 90.00°
Positions (direct):
1 Ac 0.000 0.000 0.500
2 Ac 0.000 0.500 0.000
3 Ac 0.500 0.000 0.000
4 Fe 0.000 0.000 0.000
5 Ge 0.500 0.500 0.500

DOS at the Fermi energy	3.5	states/eV/cell
energy of formation from the pure elements	-0.07	eV/atom
space group	Pm-3m
volume	157.6	Å³ per cell

---

No. 16
Ac2FeGe2H4: optimized geometry, GGA-PBE.

Cell: 5.720 5.720 5.720 Å, 113.73 113.73 101.25°
Positions (direct):
1 Ac 0.250 0.750 0.500
2 Ac 0.750 0.250 0.500
3 Fe 0.000 0.000 0.000
4 Ge 0.336 0.336 0.000
5 Ge 0.664 0.664 0.000
6 H 0.184 0.184 0.368
7 H 0.184 0.816 0.000
8 H 0.816 0.184 0.000
9 H 0.816 0.816 0.632

DOS at the Fermi energy	4.5	states/eV/cell
space group	I4/mmm
volume	141.9	Å³ per cell
E	-4.573	eV/atom

---

No. 17
Ac2FeGe3Ir4: optimized geometry, GGA-PBE.

Cell: 4.306 4.306 10.523 Å, 90.00 90.00 90.00°
Positions (direct):
1 Ac 0.000 0.500 0.244
2 Ac 0.500 0.000 0.756
3 Fe 0.500 0.500 0.000
4 Ge 0.000 0.000 0.000
5 Ge 0.000 0.500 0.627
6 Ge 0.500 0.000 0.373
7 Ir 0.000 0.000 0.500
8 Ir 0.000 0.500 0.871
9 Ir 0.500 0.000 0.129
10 Ir 0.500 0.500 0.500

DOS at the Fermi energy	6.5	states/eV/cell
energy of formation from the pure elements	-0.63	eV/atom
space group	P-4m2
volume	195.2	Å³ per cell

---

No. 18
Ac2FeGe4Ir3: optimized geometry, GGA-PBE.

Cell: 4.368 4.368 10.231 Å, 90.00 90.00 90.00°
Positions (direct):
1 Ac 0.000 0.500 0.249
2 Ac 0.500 0.000 0.751
3 Fe 0.500 0.500 0.000
4 Ge 0.000 0.000 0.500
5 Ge 0.000 0.500 0.880
6 Ge 0.500 0.000 0.120
7 Ge 0.500 0.500 0.500
8 Ir 0.000 0.000 0.000
9 Ir 0.000 0.500 0.627
10 Ir 0.500 0.000 0.373

DOS at the Fermi energy	6.4	states/eV/cell
energy of formation from the pure elements	-0.63	eV/atom
space group	P-4m2
volume	195.2	Å³ per cell

---

No. 19
AcMnFeGe2: optimized geometry, GGA-PBE.

Cell: 6.141 6.141 6.141 Å, 139.51 139.51 58.60°
Positions (direct):
1 Ac 0.000 0.000 0.000
2 Mn 0.250 0.750 0.500
3 Fe 0.750 0.250 0.500
4 Ge 0.364 0.364 0.000
5 Ge 0.636 0.636 0.000

DOS at the Fermi energy	4.6	states/eV/cell
energy of formation from the pure elements	-0.39	eV/atom
space group	I-4m2
volume	96.7	Å³ per cell

---

No. 20
Ac2Fe2Ge2N: optimized geometry, GGA-PBE.

Cell: 6.031 6.031 7.354 Å, 123.78 123.78 39.73°
Positions (direct):
1 Ac 0.055 0.055 0.299
2 Ac 0.945 0.945 0.701
3 Fe 0.321 0.321 0.933
4 Fe 0.679 0.679 0.067
5 Ge 0.311 0.311 0.249
6 Ge 0.689 0.689 0.751
7 N 0.500 0.500 0.000

DOS at the Fermi energy	4.7	states/eV/cell
formation energy (no corrections)	-622	meV per atom
space group	C2/m
volume	137.9	Å³ per cell